Computed, not measured: a relaxed structure of ZrCo2Tc at the PBE level of DFT.

Summary:
- E above lowest polymorph (eV/atom) = 0.037
- Fermi-level density of states (states/eV per atom) = 1.397
- E (eV/atom) = -8.273
- formation energy (eV/f.u.) = 0.03

a b c (Å): 5.5021 7.2485 2.8052
angles (deg): 90.00 90.00 90.00
Last column: nearest neighbours and their distance in Å.
Space group Cmmm (No. 65)
Unique sites:
Zr: 0.0000 0.0000 0.0000  8 Co 2.67, 2 Tc 2.75, 2 Zr 2.81
Co: 0.2500 0.2500 0.5000  4 Zr 2.67, 4 Tc 2.67, 4 Co 2.75-2.81
Tc: 0.0000 0.5000 0.0000  8 Co 2.67, 2 Zr 2.75, 2 Tc 2.81